Record 1
Here is Ac2InCl after structural relaxation from the Alexandria database. Energies are from PBE.

Summary:
Distance to the lowest polymorph of the same formula in meV/atom: 333
Formation energy (no corrections) in eV per atom: -0.531
DOS at the Fermi energy in states/eV/cell: 13.0

a b c (Å): 3.823 3.823 34.928
angles (deg): 90.00 90.00 120.00
Fractional coordinates of all 12 atoms:
Ac (0.000, 0.000, 0.098)
Ac (0.000, 0.000, 0.902)
Ac (0.333, 0.667, 0.569)
Ac (0.333, 0.667, 0.764)
Ac (0.667, 0.333, 0.236)
Ac (0.667, 0.333, 0.431)
In (0.000, 0.000, 0.000)
In (0.333, 0.667, 0.667)
In (0.667, 0.333, 0.333)
Cl (0.000, 0.000, 0.500)
Cl (0.333, 0.667, 0.167)
Cl (0.667, 0.333, 0.833)

=====

Record 2
Here is NaSnHg2F after structural relaxation from the Alexandria database. Energies are from PBE.

Summary:
Formation energy (no corrections) in eV per atom: -0.722
DOS at the Fermi energy in states/eV/cell: 2.1

a b c (Å): 5.487 5.487 4.048
angles (deg): 90.00 90.00 90.00
Fractional coordinates of all 5 atoms:
Na (0.000, 0.000, 0.000)
Sn (0.500, 0.500, 0.000)
Hg (0.000, 0.500, 0.500)
Hg (0.500, 0.000, 0.500)
F (0.000, 0.000, 0.500)

=====

Record 3
Here is BaSrY2 after structural relaxation from the Alexandria database. Energies are from PBE.

Summary:
Distance to the lowest polymorph of the same formula in meV/atom: 417
DOS at the Fermi energy in states/eV/cell: 28.9
DFT formation energy in eV per atom: 0.556

a b c (Å): 9.656 9.656 7.126
angles (deg): 90.00 90.00 90.00
Fractional coordinates of all 16 atoms:
Ba (0.000, 0.000, 0.000)
Ba (0.000, 0.500, 0.250)
Ba (0.500, 0.000, 0.750)
Ba (0.500, 0.500, 0.500)
Sr (0.000, 0.000, 0.500)
Sr (0.000, 0.500, 0.750)
Sr (0.500, 0.000, 0.250)
Sr (0.500, 0.500, 0.000)
Y (0.244, 0.750, 0.125)
Y (0.250, 0.244, 0.875)
Y (0.250, 0.256, 0.375)
Y (0.256, 0.750, 0.625)
Y (0.744, 0.250, 0.625)
Y (0.750, 0.744, 0.375)
Y (0.750, 0.756, 0.875)
Y (0.756, 0.250, 0.125)

=====

Record 4
Here is Pr4Ag5Ir2 after structural relaxation from the Alexandria database. Energies are from PBE.

Summary:
DOS at the Fermi energy in states/eV/cell: 4.4
DFT formation energy in eV per atom: -0.353

a b c (Å): 7.560 3.924 9.164
angles (deg): 90.00 94.21 90.00
Fractional coordinates of all 11 atoms:
Pr (0.193, 0.000, 0.356)
Pr (0.228, 0.000, 0.932)
Pr (0.772, 0.000, 0.068)
Pr (0.807, 0.000, 0.644)
Ag (0.181, 0.500, 0.643)
Ag (0.456, 0.500, 0.175)
Ag (0.500, 0.500, 0.500)
Ag (0.544, 0.500, 0.825)
Ag (0.819, 0.500, 0.357)
Ir (0.070, 0.500, 0.145)
Ir (0.930, 0.500, 0.855)

=====

Record 5
Here is Sr5AcHg8 after structural relaxation from the Alexandria database. Energies are from PBE.

Summary:
DOS at the Fermi energy in states/eV/cell: 11.8
DFT formation energy in eV per atom: -0.469

a b c (Å): 8.470 8.470 8.470
angles (deg): 109.55 109.55 109.31
Fractional coordinates of all 14 atoms:
Sr (0.000, 0.000, 0.000)
Sr (0.115, 0.245, 0.618)
Sr (0.502, 0.885, 0.130)
Sr (0.628, 0.498, 0.382)
Sr (0.755, 0.372, 0.870)
Ac (0.250, 0.750, 0.500)
Hg (0.052, 0.629, 0.755)
Hg (0.219, 0.463, 0.086)
Hg (0.371, 0.126, 0.423)
Hg (0.377, 0.133, 0.914)
Hg (0.537, 0.623, 0.756)
Hg (0.703, 0.948, 0.577)
Hg (0.867, 0.781, 0.244)
Hg (0.874, 0.297, 0.245)

=====

Record 6
Here is MnTeSe2 after structural relaxation from the Alexandria database. Energies are from PBE.

Summary:
Formation energy (no corrections) in eV per atom: 0.286
DOS at the Fermi energy in states/eV/cell: 2.1

a b c (Å): 4.998 4.998 3.503
angles (deg): 90.00 90.00 90.00
Fractional coordinates of all 4 atoms:
Mn (0.000, 0.000, 0.000)
Te (0.500, 0.500, 0.000)
Se (0.000, 0.500, 0.500)
Se (0.500, 0.000, 0.500)

=====

Record 7
Here is MnCoSb2 after structural relaxation from the Alexandria database. Energies are from PBE.

Summary:
Distance to the lowest polymorph of the same formula in meV/atom: 242
Formation energy (no corrections) in eV per atom: 0.297
DOS at the Fermi energy in states/eV/cell: 6.8

a b c (Å): 3.160 3.160 28.921
angles (deg): 90.00 90.00 120.00
Fractional coordinates of all 12 atoms:
Mn (0.000, 0.000, 0.000)
Mn (0.333, 0.667, 0.667)
Mn (0.667, 0.333, 0.333)
Co (0.000, 0.000, 0.274)
Co (0.333, 0.667, 0.940)
Co (0.667, 0.333, 0.607)
Sb (0.000, 0.000, 0.541)
Sb (0.000, 0.000, 0.742)
Sb (0.333, 0.667, 0.208)
Sb (0.333, 0.667, 0.409)
Sb (0.667, 0.333, 0.076)
Sb (0.667, 0.333, 0.875)

=====

Record 8
Here is Tb3PrGa4 after structural relaxation from the Alexandria database. Energies are from PBE.

Summary:
Distance to the lowest polymorph of the same formula in meV/atom: 0
DOS at the Fermi energy in states/eV/cell: 2.9
DFT formation energy in eV per atom: -0.572

a b c (Å): 5.122 5.122 7.241
angles (deg): 90.00 90.00 90.00
Fractional coordinates of all 8 atoms:
Tb (0.000, 0.000, 0.000)
Tb (0.000, 0.000, 0.500)
Tb (0.500, 0.500, 0.000)
Pr (0.500, 0.500, 0.500)
Ga (0.000, 0.500, 0.242)
Ga (0.000, 0.500, 0.758)
Ga (0.500, 0.000, 0.242)
Ga (0.500, 0.000, 0.758)

=====

Record 9
Here is BaBi3P after structural relaxation from the Alexandria database. Energies are from PBE.

Summary:
Distance to the lowest polymorph of the same formula in meV/atom: 1442
DOS at the Fermi energy in states/eV/cell: 4.2
DFT formation energy in eV per atom: 1.364

a b c (Å): 6.452 6.452 6.452
angles (deg): 90.00 90.00 90.00
Fractional coordinates of all 5 atoms:
Ba (0.000, 0.000, 0.000)
Bi (0.000, 0.000, 0.500)
Bi (0.000, 0.500, 0.000)
Bi (0.500, 0.000, 0.000)
P (0.500, 0.500, 0.500)

=====

Record 10
Here is Ac2MgAl7 after structural relaxation from the Alexandria database. Energies are from PBE.

Summary:
DOS at the Fermi energy in states/eV/cell: 4.7
DFT formation energy in eV per atom: -0.309

a b c (Å): 4.510 4.510 11.342
angles (deg): 90.00 90.00 90.00
Fractional coordinates of all 10 atoms:
Ac (0.000, 0.500, 0.244)
Ac (0.500, 0.000, 0.756)
Mg (0.000, 0.000, 0.500)
Al (0.000, 0.000, 0.000)
Al (0.000, 0.500, 0.640)
Al (0.000, 0.500, 0.870)
Al (0.500, 0.000, 0.130)
Al (0.500, 0.000, 0.360)
Al (0.500, 0.500, 0.000)
Al (0.500, 0.500, 0.500)

=====

Record 11
Here is K2RbNaF after structural relaxation from the Alexandria database. Energies are from PBE.

Summary:
Distance to the lowest polymorph of the same formula in meV/atom: 95
Formation energy (no corrections) in eV per atom: -0.895
DOS at the Fermi energy in states/eV/cell: 3.0

a b c (Å): 5.467 5.467 7.966
angles (deg): 90.00 90.00 90.00
Fractional coordinates of all 5 atoms:
K (0.000, 0.500, 0.000)
K (0.500, 0.000, 0.000)
Rb (0.000, 0.000, 0.500)
Na (0.500, 0.500, 0.500)
F (0.500, 0.500, 0.000)

=====

Record 12
Here is BiOsPd3 after structural relaxation from the Alexandria database. Energies are from PBE.

Summary:
Distance to the lowest polymorph of the same formula in meV/atom: 649
DOS at the Fermi energy in states/eV/cell: 5.1
DFT formation energy in eV per atom: 1.664

a b c (Å): 4.968 4.968 4.968
angles (deg): 90.00 90.00 90.00
Fractional coordinates of all 5 atoms:
Bi (0.000, 0.000, 0.000)
Os (0.500, 0.500, 0.500)
Pd (0.000, 0.000, 0.500)
Pd (0.000, 0.500, 0.000)
Pd (0.500, 0.000, 0.000)

=====

Record 13
Here is LiAl3 after structural relaxation from the Alexandria database. Energies are from PBE.

Summary:
DOS at the Fermi energy in states/eV/cell: 2.5
DFT formation energy in eV per atom: -0.061

a b c (Å): 5.569 8.392 2.833
angles (deg): 90.00 90.00 90.00
Fractional coordinates of all 8 atoms:
Li (0.000, 0.000, 0.000)
Li (0.500, 0.500, 0.000)
Al (0.000, 0.500, 0.000)
Al (0.250, 0.250, 0.500)
Al (0.250, 0.750, 0.500)
Al (0.500, 0.000, 0.000)
Al (0.750, 0.250, 0.500)
Al (0.750, 0.750, 0.500)

=====

Record 14
Here is Ba2RePb after structural relaxation from the Alexandria database. Energies are from PBE.

Summary:
DOS at the Fermi energy in states/eV/cell: 5.2
DFT formation energy in eV per atom: 0.808

a b c (Å): 6.069 6.069 3.711
angles (deg): 90.00 90.00 90.00
Fractional coordinates of all 4 atoms:
Ba (0.000, 0.500, 0.000)
Ba (0.500, 0.000, 0.000)
Re (0.000, 0.000, 0.500)
Pb (0.500, 0.500, 0.500)

=====

Record 15
Here is KSb4Se after structural relaxation from the Alexandria database. Energies are from PBE.

Summary:
Formation energy (no corrections) in eV per atom: 0.029
DOS at the Fermi energy in states/eV/cell: 3.5

a b c (Å): 6.423 6.423 6.423
angles (deg): 60.00 60.00 60.00
Fractional coordinates of all 6 atoms:
K (0.000, 0.000, 0.000)
Sb (0.156, 0.615, 0.615)
Sb (0.615, 0.156, 0.615)
Sb (0.615, 0.615, 0.156)
Sb (0.615, 0.615, 0.615)
Se (0.250, 0.250, 0.250)

=====

Record 16
Here is Y2IrAu after structural relaxation from the Alexandria database. Energies are from PBE.

Summary:
DOS at the Fermi energy in states/eV/cell: 5.8
DFT formation energy in eV per atom: -0.695

a b c (Å): 7.056 4.076 7.333
angles (deg): 90.00 108.77 90.00
Fractional coordinates of all 8 atoms:
Y (0.240, 0.000, 0.219)
Y (0.260, 0.500, 0.781)
Y (0.740, 0.500, 0.219)
Y (0.760, 0.000, 0.781)
Ir (0.000, 0.500, 0.000)
Ir (0.500, 0.000, 0.000)
Au (0.000, 0.000, 0.500)
Au (0.500, 0.500, 0.500)

=====

no.,total energy (eV for the cell shown)
1,-44.8
2,-11.4
3,-57.2
4,-55.0
5,-21.5
6,-18.1
7,-70.0
8,-35.4
9,-12.2
10,-39.1
11,-10.8
12,-22.4
13,-26.8
14,-16.8
15,-20.9
16,-55.7